Density functional theory data (PBE) for a relaxed structure of BaTlRe2.

## Properties
- excess energy over the best structure of this formula in the dataset (eV/atom) = 0.7212
- energy of formation from the pure elements (eV/atom) = 1.166
- space-group type = P2/m, No. 10
- total moment (μB per cell) = 0.00

The structure in POSCAR format:
```
BaTlRe2
1.0
5.264 0.000 0.000
0.000 2.936 0.008
0.000 0.150 6.449
Re Tl Ba
2 1 1
direct
0.000 0.145 0.078
0.000 0.355 0.422
0.500 0.250 0.250
0.500 0.750 0.750
```

***

Density functional theory data (PBE) for a relaxed structure of BaTlRe2.

## Properties
- excess energy over the best structure of this formula in the dataset (eV/atom) = 1.3617
- energy of formation from the pure elements (eV/atom) = 1.807
- space-group type = Fm-3m, No. 225
- total moment (μB per cell) = 1.28

The structure in POSCAR format:
```
BaTlRe2
1.0
0.200 -0.152 4.930
-2.445 3.353 2.674
-3.983 -1.337 2.592
Re Tl Ba
2 1 1
direct
0.250 0.250 0.250
0.750 0.750 0.750
0.500 0.500 0.500
0.000 0.000 0.000
```

***

Density functional theory data (PBE) for a relaxed structure of BaTlRe2.

## Properties
- excess energy over the best structure of this formula in the dataset (eV/atom) = 0.8216
- energy of formation from the pure elements (eV/atom) = 1.266
- space-group type = P4/mmm, No. 123
- total moment (μB per cell) = 0.46

The structure in POSCAR format:
```
BaTlRe2
1.0
3.740 0.000 0.000
0.000 3.740 0.000
0.000 0.000 7.189
Re Tl Ba
2 1 1
direct
0.000 0.000 0.088
0.000 0.000 0.412
0.500 0.500 0.250
0.500 0.500 0.750
```

***

Density functional theory data (PBE) for a relaxed structure of BaTlRe2.

## Properties
- excess energy over the best structure of this formula in the dataset (eV/atom) = 0.0374
- energy of formation from the pure elements (eV/atom) = 0.482
- space-group type = Pm, No. 6
- total moment (μB per cell) = 0.00

The structure in POSCAR format:
```
BaTlRe2
1.0
-2.792 -0.382 1.581
0.293 -3.205 -0.257
4.696 -3.431 7.464
Re Tl Ba
2 1 1
direct
0.000 0.931 0.069
0.500 0.295 0.204
0.000 0.549 0.451
0.500 0.725 0.775
```

***

Density functional theory data (PBE) for a relaxed structure of BaTl3Re.

## Properties
- excess energy over the best structure of this formula in the dataset (eV/atom) = 2.1287
- energy of formation from the pure elements (eV/atom) = 2.315
- space-group type = Pm-3m, No. 221
- total moment (μB per cell) = 0.00

The structure in POSCAR format:
```
BaTl3Re
1.0
-0.879 2.592 5.514
5.230 -2.537 2.026
3.126 4.974 -1.840
Re Tl Ba
1 3 1
direct
0.500 0.500 0.500
0.000 0.500 0.000
0.000 0.000 0.500
0.500 0.000 0.000
0.000 0.000 0.000
```

***

Density functional theory data (PBE) for a relaxed structure of BaTlRe2.

## Properties
- excess energy over the best structure of this formula in the dataset (eV/atom) = 0.0000
- energy of formation from the pure elements (eV/atom) = 0.445
- space-group type = R3m, No. 160
- total moment (μB per cell) = 0.00

The structure in POSCAR format:
```
BaTlRe2
1.0
4.277 -0.005 0.012
2.144 3.701 0.012
2.119 1.220 7.010
Re Tl Ba
2 1 1
direct
0.955 0.955 0.135
0.276 0.276 0.172
0.531 0.531 0.408
0.738 0.738 0.785
```

***

Density functional theory data (PBE) for a relaxed structure of BaTl2Re4.

## Properties
- energy of formation from the pure elements (eV/atom) = 3.250
- space-group type = I4/mmm, No. 139
- total moment (μB per cell) = 7.41

The structure in POSCAR format:
```
BaTl2Re4
1.0
-5.036 0.483 -0.491
-0.619 -1.588 4.789
-2.401 6.245 4.458
Re Tl Ba
4 2 1
direct
0.810 0.810 0.381
0.190 0.190 0.619
0.000 0.500 0.000
0.500 0.000 0.000
0.621 0.621 0.759
0.379 0.379 0.241
0.000 0.000 0.000
```

***

Density functional theory data (PBE) for a relaxed structure of BaTlRe2.

## Properties
- excess energy over the best structure of this formula in the dataset (eV/atom) = 1.2794
- energy of formation from the pure elements (eV/atom) = 1.724
- space-group type = I4/mmm, No. 139
- total moment (μB per cell) = 0.00

The structure in POSCAR format:
```
BaTlRe2
1.0
-0.972 5.882 0.715
-1.738 3.371 -4.654
-1.505 -5.180 2.637
Re Tl Ba
2 1 1
direct
0.000 0.000 0.000
0.500 0.500 0.000
0.250 0.750 0.500
0.750 0.250 0.500
```